Here is an optimized crystal structure of Sr2EuIn from Alexandria. Energies are from GGA-PBE.

Results
energy relative to the lowest polymorph listed for this composition	0.040	eV per atom
total DFT energy (no corrections)	-4.244	eV/atom
size of the total moment	1.87	μB per atom

Unit cell a=5.3607 b=5.3718 c=5.3718 alpha=90.00 beta=90.00 gamma=90.00
With the nearest neighbours (Å) after each atom.
Atoms (fractional coordinates):
Eu (0.5000, 0.0000, 0.0000)  8 Sr 3.79, 4 In 3.80
Sr (0.0000, 0.0000, 0.5000)  4 In 3.79, 4 Eu 3.79, 4 Sr 3.80
Sr (0.0000, 0.5000, 0.0000)  4 In 3.79, 4 Eu 3.79, 4 Sr 3.80
In (0.5000, 0.5000, 0.5000)  8 Sr 3.79, 4 Eu 3.80